No. 1
Here is an optimized crystal structure of CeHgBr from the Alexandria database. Energies are from GGA-PBE.

a b c (Å): 4.6483 4.6483 10.7742
angles (deg): 88.22 88.22 60.08
Last column: nearest neighbours and their distance in Å.
Atoms (fractional coordinates):
Ce1 0.9908 0.9908 0.6940  3 Br 3.11, 3 Hg 3.14-3.15
Ce2 0.0092 0.0092 0.3060  3 Br 3.11, 3 Hg 3.14-3.15
Hg1 0.6648 0.6648 0.5417  3 Hg 2.83, 3 Ce 3.14-3.15
Hg2 0.3352 0.3352 0.4583  3 Hg 2.83, 3 Ce 3.14-3.15
Br1 0.6825 0.6825 0.1601  3 Ce 3.11
Br2 0.3175 0.3175 0.8399  3 Ce 3.11

Summary:
Magnetization, μB per atom: 0.34
Formation energy without anion corrections, kJ/mol of formula units: -257
DOS at the Fermi energy, states/eV/f.u.: 7.5


No. 2
Here is an optimized crystal structure of CeInHg2Br6 from the Alexandria database. Energies are from GGA-PBE.

a b c (Å): 7.9802 7.9803 7.9805
angles (deg): 60.00 60.00 90.00
Last column: nearest neighbours and their distance in Å.
Atoms (fractional coordinates):
Ce1 0.0000 0.0000 0.0000  6 Br 2.86
In1 0.5000 0.5000 0.0000  6 Br 2.78
Hg1 0.7501 0.2501 0.4998  12 Br 3.99
Hg2 0.2499 0.7499 0.5002  12 Br 3.99
Br1 0.2538 0.2538 0.4925  1 In 2.78, 1 Ce 2.86
Br2 0.7464 0.7462 0.9998  1 In 2.78, 1 Ce 2.86
Br3 0.2540 0.7464 0.0000  1 In 2.78, 1 Ce 2.86
Br4 0.7460 0.2536 0.0000  1 In 2.78, 1 Ce 2.86
Br5 0.2536 0.2538 0.0002  1 In 2.78, 1 Ce 2.86
Br6 0.7462 0.7462 0.5075  1 In 2.78, 1 Ce 2.86

Summary:
Magnetization, μB per atom: 0.10
Formation energy without anion corrections, kJ/mol of formula units: -864
DOS at the Fermi energy, states/eV/f.u.: 9.0


No. 3
Here is an optimized crystal structure of CeIn3Hg2Br6 from the Alexandria database. Energies are from GGA-PBE.

a b c (Å): 6.9807 8.4259 9.1675
angles (deg): 117.36 91.15 90.00
Last column: nearest neighbours and their distance in Å.
Atoms (fractional coordinates):
Ce1 0.5000 0.0000 0.0000  6 Br 2.91-2.92
In1 0.0000 0.5000 0.0000  2 Hg 3.00, 4 Br 3.19
In2 0.5000 0.5000 0.5000  2 Hg 3.13, 4 Br 3.18-3.20
In3 0.5000 0.0000 0.5000  2 Hg 3.13, 4 Br 3.18-3.20
Hg1 0.2611 0.6490 0.2980  3 In 3.00-3.13
Hg2 0.7389 0.3510 0.7020  3 In 3.00-3.13
Br1 0.7270 0.3284 0.1664  1 Ce 2.92, 2 In 3.18-3.19
Br2 0.2730 0.6716 0.8336  1 Ce 2.92, 2 In 3.18-3.19
Br3 0.7441 0.8575 0.7149  1 Ce 2.91, 2 In 3.20
Br4 0.2559 0.1425 0.2851  1 Ce 2.91, 2 In 3.20
Br5 0.2730 0.1619 0.8336  1 Ce 2.92, 2 In 3.18-3.19
Br6 0.7270 0.8381 0.1664  1 Ce 2.92, 2 In 3.18-3.19

Summary:
Magnetization, μB per atom: 0.07
Formation energy without anion corrections, kJ/mol of formula units: -1053
DOS at the Fermi energy, states/eV/f.u.: 8.6


No. 4
Here is an optimized crystal structure of KCe3Hg2Br12 from the Alexandria database. Energies are from GGA-PBE.

a b c (Å): 10.7448 10.7448 10.7448
angles (deg): 61.69 61.69 61.69
Last column: nearest neighbours and their distance in Å.
Atoms (fractional coordinates):
K1 0.0000 0.0000 0.0000  6 Br 3.33
Ce1 0.5000 0.0000 0.0000  6 Br 2.73-2.89
Ce2 0.0000 0.5000 0.0000  6 Br 2.73-2.89
Ce3 0.0000 0.0000 0.5000  6 Br 2.73-2.89
Hg1 0.6199 0.6199 0.6199  6 Br 4.45-4.86
Hg2 0.3801 0.3801 0.3801  6 Br 4.45-4.86
Br1 0.3040 0.3040 0.9198  2 Ce 2.89
Br2 0.9091 0.9091 0.3679  1 Ce 2.73
Br3 0.3679 0.9091 0.9091  1 Ce 2.73
Br4 0.9198 0.3040 0.3040  2 Ce 2.89
Br5 0.9091 0.3679 0.9091  1 Ce 2.73
Br6 0.3040 0.9198 0.3040  2 Ce 2.89
Br7 0.6960 0.6960 0.0802  2 Ce 2.89
Br8 0.0909 0.0909 0.6321  1 Ce 2.73
Br9 0.6321 0.0909 0.0909  1 Ce 2.73
Br10 0.0802 0.6960 0.6960  2 Ce 2.89
Br11 0.0909 0.6321 0.0909  1 Ce 2.73
Br12 0.6960 0.0802 0.6960  2 Ce 2.89

Summary:
Magnetization, μB per atom: 0.06
Formation energy without anion corrections, kJ/mol of formula units: -2503
DOS at the Fermi energy, states/eV/f.u.: 10.8